# NiPOs2

A relaxed structure of NiPOs2 (GGA-PBE, the Alexandria database).

Summary:
As for the space group: P4/mmm (123). The formation enthalpy at 0 K comes out at 0.136 eV per atom.

a = 2.894 Å, b = 2.894 Å, c = 6.096 Å
α = 90.00°, β = 90.00°, γ = 90.00°
Element x y z (fractional)
Ni  0.000  0.000  0.000
P  0.000  0.000  0.500
Os  0.500  0.500  0.272
Os  0.500  0.500  0.728